Entry 1:
DFT (PBE) results for a geometry-optimized La3Dy4Y4 structure.

abc: 3.633 9.529 21.743
angles: 90.00 90.00 90.00
Space group Immm (No. 71)
Asymmetric unit:
La: 0.000 0.000 0.000 [2 per cell]
La: 0.000 0.500 0.109 [4 per cell]
Dy: 0.000 0.000 0.259 [4 per cell]
Dy: 0.000 0.184 0.500 [4 per cell]
Y: 0.000 0.321 0.352 [8 per cell]

Output
Formation energy from the elements: 1.48 eV per formula unit
V: 34.2 Å³/atom

Entry 2:
DFT (PBE) results for a geometry-optimized K2PuSiS4 structure.

abc: 8.188 8.310 11.581
angles: 90.00 90.00 90.00
Space group Imma (No. 74)
Asymmetric unit:
K: 0.000 0.000 0.000 [4 per cell]
K: 0.250 0.250 0.250 [4 per cell]
Pu: 0.000 0.000 0.500 [4 per cell]
Si: 0.250 0.250 0.750 [4 per cell]
S: 0.000 0.041 0.731 [8 per cell]
S: 0.217 0.250 0.524 [8 per cell]

Output
E: -5.809 eV per atom
V: 24.6 Å³/atom